1.
# TmPb2S3 GGA-PBE relaxed
# - Formation energy without anion corrections: -1.016 eV per atom
# - V: 625 Å³/cell
data_TmPb2S3
_chemical_formula_sum 'Tm4 Pb8 S12'
_symmetry_space_group_name_H-M 'C 1 2/c 1'
_symmetry_Int_Tables_number 15
_cell_length_a 14.806
_cell_length_b 5.740
_cell_length_c 7.618
_cell_angle_alpha 90.00
_cell_angle_beta 105.13
_cell_angle_gamma 90.00
loop_
_symmetry_equiv_pos_as_xyz
'x,y,z'
'-x,-y,-z'
'-x,y,-z+1/2'
'x,-y,z+1/2'
'x+1/2,y+1/2,z'
'-x+1/2,-y+1/2,-z'
'-x+1/2,y+1/2,-z+1/2'
'x+1/2,-y+1/2,z+1/2'
loop_
_atom_site_label
_atom_site_fract_x
_atom_site_fract_y
_atom_site_fract_z
Tm1 0.000 0.001 0.250
Pb1 0.162 0.500 0.082
S1 0.000 0.500 0.250
S2 0.131 0.000 0.067

---

2.
# HfTiN2O GGA-PBE relaxed
# - Formation energy without anion corrections: -0.614 eV per atom
# - V: 68 Å³/cell
data_HfTiN2O
_chemical_formula_sum 'Hf1 Ti1 N2 O1'
_symmetry_space_group_name_H-M 'P 4/m m m'
_symmetry_Int_Tables_number 123
_symmetry_space_group_name_Hall '-P 4 2'
_cell_length_a 4.144
_cell_length_b 4.144
_cell_length_c 3.940
_cell_angle_alpha 90.00
_cell_angle_beta 90.00
_cell_angle_gamma 90.00
loop_
_atom_site_label
_atom_site_fract_x
_atom_site_fract_y
_atom_site_fract_z
Hf1 0.000 0.000 0.000
Ti1 0.500 0.500 0.500
N1 0.000 0.500 0.000
O1 0.000 0.000 0.500

---

Look up the V of the first one.
625 Å³/cell